The following is a meta-GGA SCAN calculation of Li3AgW at its PBEsol-relaxed geometry, from the Alexandria database. Values from VASP.

Geometry as Quantum ESPRESSO input:
```
&SYSTEM
  ibrav = 0, nat = 5, ntyp = 3
/
ATOMIC_SPECIES
Li 6.94 Li.upf
Ag 107.87 Ag.upf
W 183.84 W.upf
CELL_PARAMETERS angstrom
4.912 0.000 0.000
0.000 4.912 0.000
0.000 0.000 4.912
ATOMIC_POSITIONS angstrom
Li 0.000 0.000 2.456
Li 0.000 2.456 0.000
Li 2.456 0.000 0.000
Ag 2.456 2.456 2.456
W 0.000 0.000 0.000
```

- space-group type = Pm-3m (221)

The following is a meta-GGA SCAN calculation of OsRu at its PBEsol-relaxed geometry, from the Alexandria database. Values from VASP.

Geometry as Quantum ESPRESSO input:
```
&SYSTEM
  ibrav = 0, nat = 4, ntyp = 2
/
ATOMIC_SPECIES
Os 190.23 Os.upf
Ru 101.07 Ru.upf
CELL_PARAMETERS angstrom
2.709 0.000 0.000
-1.354 2.346 0.000
0.000 0.000 8.575
ATOMIC_POSITIONS angstrom
Os 0.000 1.564 1.078
Os 1.354 0.782 7.497
Ru 0.000 1.564 5.354
Ru 1.354 0.782 3.221
```

- space-group type = P-3m1 (164)

| no. | DFT formation energy (eV per atom) | final energy (eV per atom) |
| --- | --- | --- |
| 1 | 1.5984 | -20.05 |
| 2 | -0.0054 | -53.36 |